! La6BiSe3S2 GGA-PBE relaxed; values from VASP
&SYSTEM
  ibrav = 0, nat = 12, ntyp = 4
/
ATOMIC_SPECIES
La 138.91 La.upf
Bi 208.98 Bi.upf
Se 78.96 Se.upf
S 32.06 S.upf
ATOMIC_POSITIONS crystal
La 0.007 0.007 0.268
La 0.326 0.326 0.900
La 0.329 0.329 0.424
La 0.671 0.671 0.576
La 0.674 0.674 0.100
La 0.993 0.993 0.732
Bi 0.500 0.500 0.000
Se 0.162 0.162 0.832
Se 0.500 0.500 0.500
Se 0.838 0.838 0.168
S 0.169 0.169 0.337
S 0.831 0.831 0.663
CELL_PARAMETERS angstrom
9.435 -2.164 0.000
9.435 2.164 0.000
-2.000 0.000 8.479
! - Energy: -74.43 eV per cell
! - Energy relative to the elements, uncorrected: -1.857 eV/atom

=====

! La4BiSeS2 GGA-PBE relaxed; values from VASP
&SYSTEM
  ibrav = 0, nat = 8, ntyp = 4
/
ATOMIC_SPECIES
La 138.91 La.upf
Bi 208.98 Bi.upf
Se 78.96 Se.upf
S 32.06 S.upf
ATOMIC_POSITIONS crystal
La 0.231 0.000 0.221
La 0.249 0.500 0.772
La 0.751 0.500 0.228
La 0.769 0.000 0.779
Bi 0.500 0.500 0.500
Se 0.000 0.000 0.500
S 0.000 0.500 0.000
S 0.500 0.000 0.000
CELL_PARAMETERS angstrom
7.483 0.000 0.000
0.000 4.324 0.000
-2.495 0.000 7.152
! - Energy: -49.77 eV per cell
! - Energy relative to the elements, uncorrected: -1.805 eV/atom

=====

! La4BiSe2S GGA-PBE relaxed; values from VASP
&SYSTEM
  ibrav = 0, nat = 16, ntyp = 4
/
ATOMIC_SPECIES
La 138.91 La.upf
Bi 208.98 Bi.upf
Se 78.96 Se.upf
S 32.06 S.upf
ATOMIC_POSITIONS crystal
La 0.253 0.243 0.010
La 0.256 0.240 0.484
La 0.256 0.772 0.016
La 0.268 0.757 0.510
La 0.732 0.243 0.490
La 0.744 0.228 0.984
La 0.744 0.760 0.516
La 0.747 0.757 0.990
Bi 0.000 0.500 0.500
Bi 0.500 0.500 0.000
Se 0.000 0.000 0.000
Se 0.000 0.000 0.500
Se 0.000 0.500 0.000
Se 0.500 0.000 0.500
S 0.500 0.000 0.000
S 0.500 0.500 0.500
CELL_PARAMETERS angstrom
-4.384 4.391 6.205
4.384 -4.391 6.205
4.384 4.391 -6.205
! - Energy: -97.45 eV per cell
! - Energy relative to the elements, uncorrected: -1.754 eV/atom

=====

! Sr3LaBi2S GGA-PBE relaxed; values from VASP
&SYSTEM
  ibrav = 0, nat = 7, ntyp = 4
/
ATOMIC_SPECIES
Sr 87.62 Sr.upf
La 138.91 La.upf
Bi 208.98 Bi.upf
S 32.06 S.upf
ATOMIC_POSITIONS crystal
Sr 0.000 0.000 0.000
Sr 0.175 0.675 0.500
Sr 0.825 0.325 0.500
La 0.500 0.500 0.000
Bi 0.368 0.868 0.500
Bi 0.632 0.132 0.500
S 0.000 0.500 0.500
CELL_PARAMETERS angstrom
-2.748 2.757 8.726
2.748 -2.757 8.726
2.748 2.757 -8.726
! - Energy: -29.82 eV per cell
! - Energy relative to the elements, uncorrected: -1.137 eV/atom

=====

! LaTaBiS2 GGA-PBE relaxed; values from VASP
&SYSTEM
  ibrav = 0, nat = 5, ntyp = 4
/
ATOMIC_SPECIES
La 138.91 La.upf
Ta 180.95 Ta.upf
Bi 208.98 Bi.upf
S 32.06 S.upf
ATOMIC_POSITIONS crystal
La 0.000 0.000 0.000
Ta 0.500 0.500 0.000
Bi 0.000 0.000 0.500
S 0.000 0.500 0.500
S 0.500 0.000 0.500
CELL_PARAMETERS angstrom
5.255 0.000 0.000
0.000 5.255 0.000
0.000 0.000 6.136
! - Energy: -22.95 eV per cell
! - Energy relative to the elements, uncorrected: 1.193 eV/atom
! - Energy above the most stable polymorph in this dataset: 353 meV per atom

=====

! LaTaBiS2 GGA-PBE relaxed; values from VASP
&SYSTEM
  ibrav = 0, nat = 5, ntyp = 4
/
ATOMIC_SPECIES
La 138.91 La.upf
Ta 180.95 Ta.upf
Bi 208.98 Bi.upf
S 32.06 S.upf
ATOMIC_POSITIONS crystal
La 0.000 0.000 0.000
Ta 0.000 0.000 0.500
Bi 0.500 0.500 0.500
S 0.000 0.500 0.000
S 0.500 0.000 0.000
CELL_PARAMETERS angstrom
5.313 0.000 0.000
0.000 5.313 0.000
0.000 0.000 5.922
! - Energy: -24.71 eV per cell
! - Energy relative to the elements, uncorrected: 0.840 eV/atom
! - Energy above the most stable polymorph in this dataset: 0 meV per atom

=====

Please write out number 6 again, unchanged.
! LaTaBiS2 GGA-PBE relaxed; values from VASP
&SYSTEM
  ibrav = 0, nat = 5, ntyp = 4
/
ATOMIC_SPECIES
La 138.91 La.upf
Ta 180.95 Ta.upf
Bi 208.98 Bi.upf
S 32.06 S.upf
ATOMIC_POSITIONS crystal
La 0.000 0.000 0.000
Ta 0.000 0.000 0.500
Bi 0.500 0.500 0.500
S 0.000 0.500 0.000
S 0.500 0.000 0.000
CELL_PARAMETERS angstrom
5.313 0.000 0.000
0.000 5.313 0.000
0.000 0.000 5.922
! - Energy: -24.71 eV per cell
! - Energy relative to the elements, uncorrected: 0.840 eV/atom
! - Energy above the most stable polymorph in this dataset: 0 meV per atom

=====

Please write out number 3 again, unchanged.
! La4BiSe2S GGA-PBE relaxed; values from VASP
&SYSTEM
  ibrav = 0, nat = 16, ntyp = 4
/
ATOMIC_SPECIES
La 138.91 La.upf
Bi 208.98 Bi.upf
Se 78.96 Se.upf
S 32.06 S.upf
ATOMIC_POSITIONS crystal
La 0.253 0.243 0.010
La 0.256 0.240 0.484
La 0.256 0.772 0.016
La 0.268 0.757 0.510
La 0.732 0.243 0.490
La 0.744 0.228 0.984
La 0.744 0.760 0.516
La 0.747 0.757 0.990
Bi 0.000 0.500 0.500
Bi 0.500 0.500 0.000
Se 0.000 0.000 0.000
Se 0.000 0.000 0.500
Se 0.000 0.500 0.000
Se 0.500 0.000 0.500
S 0.500 0.000 0.000
S 0.500 0.500 0.500
CELL_PARAMETERS angstrom
-4.384 4.391 6.205
4.384 -4.391 6.205
4.384 4.391 -6.205
! - Energy: -97.45 eV per cell
! - Energy relative to the elements, uncorrected: -1.754 eV/atom

=====

Copy entry 6 word for word.
! LaTaBiS2 GGA-PBE relaxed; values from VASP
&SYSTEM
  ibrav = 0, nat = 5, ntyp = 4
/
ATOMIC_SPECIES
La 138.91 La.upf
Ta 180.95 Ta.upf
Bi 208.98 Bi.upf
S 32.06 S.upf
ATOMIC_POSITIONS crystal
La 0.000 0.000 0.000
Ta 0.000 0.000 0.500
Bi 0.500 0.500 0.500
S 0.000 0.500 0.000
S 0.500 0.000 0.000
CELL_PARAMETERS angstrom
5.313 0.000 0.000
0.000 5.313 0.000
0.000 0.000 5.922
! - Energy: -24.71 eV per cell
! - Energy relative to the elements, uncorrected: 0.840 eV/atom
! - Energy above the most stable polymorph in this dataset: 0 meV per atom